An optimized crystal structure of BaCuW4. Source: Alexandria, functional GGA-PBE.

a = 7.814 Å, b = 7.814 Å, c = 7.814 Å
α = 90.00°, β = 90.00°, γ = 90.00°
Space group F-43m (No. 216)
Unique sites:
Ba 0.000 0.000 0.000 (multiplicity 4)
Cu 0.250 0.250 0.750 (multiplicity 4)
W 0.125 0.125 0.375 (multiplicity 16)

Output
V, Å³/atom: 19.9
Total magnetization, μB/f.u.: 0.00
E_form, eV per atom: 1.1651
Density of states at the Fermi level, states/eV/cell: 19.0